No. 1
A geometry-optimized Cd2Co structure, computed with PBE.

Calculated values
- E_tot: -27.62 eV/cell
- Calculated formation energy: 677.0 meV per atom

a b c (Å): 5.451 5.451 9.169
angles (deg): 90.00 90.00 60.00
Fractional positions:
Co: 0.667 0.667 0.020
Co: 0.667 0.667 0.480
Co: 0.333 0.333 0.520
Co: 0.333 0.333 0.980
Cd: 0.000 0.000 0.000
Cd: 0.000 0.000 0.500
Cd: 0.829 0.341 0.750
Cd: 0.341 0.829 0.750
Cd: 0.171 0.171 0.250
Cd: 0.829 0.829 0.750
Cd: 0.659 0.171 0.250
Cd: 0.171 0.659 0.250


No. 2
A geometry-optimized CdCo3 structure, computed with PBE.

Calculated values
- E_tot: -20.94 eV/cell
- Calculated formation energy: 323.8 meV per atom

a b c (Å): 2.675 4.171 4.776
angles (deg): 90.00 90.00 90.00
Fractional positions:
Cd: 0.000 0.000 0.012
Co: 0.000 0.500 0.362
Co: 0.500 0.000 0.509
Co: 0.500 0.500 0.783


No. 3
A geometry-optimized Cd2Co structure, computed with PBE.

Calculated values
- E_tot: -16.12 eV/cell
- Calculated formation energy: 291.9 meV per atom

a b c (Å): 12.956 12.956 12.956
angles (deg): 167.07 167.07 18.32
Fractional positions:
Cd: 0.322 0.822 0.500
Cd: 0.178 0.678 0.500
Cd: 0.572 0.572 0.000
Cd: 0.428 0.428 0.000
Co: 0.000 0.000 0.000
Co: 0.750 0.250 0.500


In states/eV per cell, the density of states at the Fermi level values for the records above are, in order, 17.8 4.6 9.3.
In g/cm³, the theoretical density values for the records above are, in order, 7.99 9.01 8.66.